1.
NaY2Mg2 | PBE | optimized geometry

Its calculated total energy is -3.344 eV/atom. As for the calculated formation energy: 0.14 eV/atom. The calculation puts the density of states at the Fermi level at 4.65 states/eV/f.u. For the spin magnetization, the calculation gives 0.98 μB/f.u. The calculated volume comes out at 308.4 Å³ per cell. The value obtained for the calculated density is 2.69 g cm⁻³.

Cell: 9.1564 9.1564 3.6782 Å, 90.00 90.00 90.00°
Closest atoms and distances in Å follow each position.
Fractional positions:
Na: 0.0000 0.0000 0.0000  4 Mg 3.47, 2 Na 3.68
Na: 0.5000 0.5000 0.0000  4 Mg 3.47, 2 Na 3.68
Y: 0.1392 0.3608 0.5000  6 Mg 3.25-3.26, 1 Y 3.61
Y: 0.3608 0.8608 0.5000  6 Mg 3.25-3.26, 1 Y 3.61
Y: 0.6392 0.1392 0.5000  6 Mg 3.25-3.26, 1 Y 3.61
Y: 0.8608 0.6392 0.5000  6 Mg 3.25-3.26, 1 Y 3.61
Mg: 0.1539 0.6539 0.0000  6 Y 3.25-3.26, 2 Na 3.47
Mg: 0.3461 0.1539 0.0000  6 Y 3.25-3.26, 2 Na 3.47
Mg: 0.6539 0.8461 0.0000  6 Y 3.25-3.26, 2 Na 3.47
Mg: 0.8461 0.3461 0.0000  6 Y 3.25-3.26, 2 Na 3.47

2.
CePrCdOs | PBE | optimized geometry

Its calculated total energy is -5.740 eV/atom. As for the calculated formation energy: -0.03 eV/atom. The calculation puts the density of states at the Fermi level at 5.22 states/eV/f.u. For the spin magnetization, the calculation gives 0.29 μB/f.u. The calculated volume comes out at 389.3 Å³ per cell. The value obtained for the calculated density is 9.96 g cm⁻³.

Cell: 7.3017 7.3017 7.3017 Å, 90.00 90.00 90.00°
Closest atoms and distances in Å follow each position.
Fractional positions:
Ce: 0.0000 0.0000 0.0000  4 Cd 3.16, 4 Os 3.16
Ce: 0.0000 0.5000 0.5000  4 Cd 3.16, 4 Os 3.16
Ce: 0.5000 0.0000 0.5000  4 Cd 3.16, 4 Os 3.16
Ce: 0.5000 0.5000 0.0000  4 Cd 3.16, 4 Os 3.16
Pr: 0.0000 0.0000 0.5000  4 Cd 3.16, 4 Os 3.16
Pr: 0.0000 0.5000 0.0000  4 Cd 3.16, 4 Os 3.16
Pr: 0.5000 0.0000 0.0000  4 Cd 3.16, 4 Os 3.16
Pr: 0.5000 0.5000 0.5000  4 Cd 3.16, 4 Os 3.16
Cd: 0.2500 0.2500 0.2500  4 Ce 3.16, 4 Pr 3.16
Cd: 0.2500 0.7500 0.7500  4 Ce 3.16, 4 Pr 3.16
Cd: 0.7500 0.2500 0.7500  4 Ce 3.16, 4 Pr 3.16
Cd: 0.7500 0.7500 0.2500  4 Ce 3.16, 4 Pr 3.16
Os: 0.2500 0.2500 0.7500  4 Ce 3.16, 4 Pr 3.16
Os: 0.2500 0.7500 0.2500  4 Ce 3.16, 4 Pr 3.16
Os: 0.7500 0.2500 0.2500  4 Ce 3.16, 4 Pr 3.16
Os: 0.7500 0.7500 0.7500  4 Ce 3.16, 4 Pr 3.16

3.
ZrPdSe2 | PBE | optimized geometry

Its calculated total energy is -6.129 eV/atom. The calculation puts the density of states at the Fermi level at 0.06 states/eV/f.u. For the spin magnetization, the calculation gives 0.00 μB/f.u. The calculated volume comes out at 409.4 Å³ per cell. The value obtained for the calculated density is 5.77 g cm⁻³. The calculation puts the uncorrected formation energy at -0.951 eV per atom.

Cell: 8.0041 6.8407 8.4047 Å, 90.00 117.17 90.00°
Closest atoms and distances in Å follow each position.
Fractional positions:
Zr: 0.0478 0.0459 0.3179  5 Se 2.67-2.91, 3 Pd 2.80-2.91
Zr: 0.0478 0.4541 0.8179  5 Se 2.67-2.91, 3 Pd 2.80-2.91
Zr: 0.9522 0.5459 0.1821  5 Se 2.67-2.91, 3 Pd 2.80-2.91
Zr: 0.9522 0.9541 0.6821  5 Se 2.67-2.91, 3 Pd 2.80-2.91
Pd: 0.1072 0.6637 0.5553  3 Se 2.53-2.61, 1 Pd 2.71, 1 Zr 2.80
Pd: 0.1072 0.8363 0.0553  3 Se 2.53-2.61, 1 Pd 2.71, 1 Zr 2.80
Pd: 0.8928 0.1637 0.9447  3 Se 2.53-2.61, 1 Pd 2.71, 1 Zr 2.80
Pd: 0.8928 0.3363 0.4447  3 Se 2.53-2.61, 1 Pd 2.71, 1 Zr 2.80
Se: 0.2116 0.2088 0.6653  1 Pd 2.53, 3 Zr 2.76-2.83
Se: 0.2116 0.2912 0.1653  1 Pd 2.53, 3 Zr 2.76-2.83
Se: 0.2997 0.7397 0.8865  2 Pd 2.54-2.61, 1 Zr 2.67
Se: 0.2997 0.7603 0.3865  2 Pd 2.54-2.61, 1 Zr 2.67
Se: 0.7003 0.2397 0.6135  2 Pd 2.54-2.61, 1 Zr 2.67
Se: 0.7003 0.2603 0.1135  2 Pd 2.54-2.61, 1 Zr 2.67
Se: 0.7884 0.7088 0.8347  1 Pd 2.53, 3 Zr 2.76-2.83
Se: 0.7884 0.7912 0.3347  1 Pd 2.53, 3 Zr 2.76-2.83

4.
Ta4Te16Pd3 | PBE | optimized geometry

Its calculated total energy is -5.258 eV/atom. The calculation puts the density of states at the Fermi level at 8.02 states/eV/f.u. For the spin magnetization, the calculation gives 0.00 μB/f.u. The calculated volume comes out at 660.3 Å³ per cell. The value obtained for the calculated density is 7.76 g cm⁻³. The calculation puts the uncorrected formation energy at -0.334 eV per atom.

Cell: 11.1536 11.1536 18.0841 Å, 118.10 118.10 19.52°
Closest atoms and distances in Å follow each position.
Fractional positions:
Ta: 0.0818 0.0818 0.3483  8 Te 2.85-2.95
Ta: 0.2096 0.2096 0.0836  6 Te 2.67-2.94
Ta: 0.7904 0.7904 0.9164  6 Te 2.67-2.94
Ta: 0.9182 0.9182 0.6517  8 Te 2.85-2.95
Te: 0.0388 0.0388 0.6214  2 Pd 2.71, 1 Ta 2.95
Te: 0.0771 0.0771 0.1849  2 Pd 2.75, 1 Ta 2.91
Te: 0.1911 0.1911 0.9112  3 Ta 2.85-2.94
Te: 0.2744 0.2744 0.2516  1 Ta 2.67, 2 Pd 2.75
Te: 0.3151 0.3151 0.6370  2 Ta 2.86, 1 Pd 2.94, 1 Te 3.08
Te: 0.3800 0.3800 0.5191  1 Pd 2.82, 2 Ta 2.85, 1 Te 3.08
Te: 0.3964 0.3964 0.9793  1 Pd 2.74, 2 Ta 2.79
Te: 0.4831 0.4831 0.2345  2 Ta 2.87
Te: 0.5169 0.5169 0.7655  2 Ta 2.87
Te: 0.6036 0.6036 0.0207  1 Pd 2.74, 2 Ta 2.79
Te: 0.6200 0.6200 0.4809  1 Pd 2.82, 2 Ta 2.85, 1 Te 3.08
Te: 0.6849 0.6849 0.3630  2 Ta 2.86, 1 Pd 2.94, 1 Te 3.08
Te: 0.7256 0.7256 0.7484  1 Ta 2.67, 2 Pd 2.75
Te: 0.8089 0.8089 0.0888  3 Ta 2.85-2.94
Te: 0.9229 0.9229 0.8151  2 Pd 2.75, 1 Ta 2.91
Te: 0.9612 0.9612 0.3786  2 Pd 2.71, 1 Ta 2.95
Pd: 0.3289 0.3289 0.8067  6 Te 2.74-2.94
Pd: 0.5000 0.5000 0.5000  6 Te 2.71-2.82
Pd: 0.6711 0.6711 0.1933  6 Te 2.74-2.94

5.
LiAlGe | PBE | optimized geometry

Its calculated total energy is -3.499 eV/atom. As for the calculated formation energy: -0.07 eV/atom. The calculation puts the density of states at the Fermi level at 0.93 states/eV/f.u. For the spin magnetization, the calculation gives 0.00 μB/f.u. The calculated volume comes out at 202.8 Å³ per cell. The value obtained for the calculated density is 3.49 g cm⁻³.

Cell: 12.9698 5.4753 2.8889 Å, 90.00 98.72 90.00°
Closest atoms and distances in Å follow each position.
Fractional positions:
Li: 0.2500 0.2500 0.0000  4 Ge 2.72-2.86, 4 Li 2.74-2.89, 4 Al 2.79-2.94
Li: 0.2500 0.7500 0.0000  4 Ge 2.72-2.86, 4 Li 2.74-2.89, 4 Al 2.79-2.94
Li: 0.7500 0.2500 0.0000  4 Ge 2.72-2.86, 4 Li 2.74-2.89, 4 Al 2.79-2.94
Li: 0.7500 0.7500 0.0000  4 Ge 2.72-2.86, 4 Li 2.74-2.89, 4 Al 2.79-2.94
Al: 0.0897 0.0000 0.3371  4 Al 2.64-2.89, 2 Ge 2.76, 4 Li 2.79-2.94
Al: 0.4103 0.5000 0.6629  4 Al 2.64-2.89, 2 Ge 2.76, 4 Li 2.79-2.94
Al: 0.5897 0.5000 0.3371  4 Al 2.64-2.89, 2 Ge 2.76, 4 Li 2.79-2.94
Al: 0.9103 0.0000 0.6629  4 Al 2.64-2.89, 2 Ge 2.76, 4 Li 2.79-2.94
Ge: 0.0980 0.5000 0.4443  3 Ge 2.61-2.89, 4 Li 2.72-2.86, 2 Al 2.76
Ge: 0.4020 0.0000 0.5557  3 Ge 2.61-2.89, 4 Li 2.72-2.86, 2 Al 2.76
Ge: 0.5980 0.0000 0.4443  3 Ge 2.61-2.89, 4 Li 2.72-2.86, 2 Al 2.76
Ge: 0.9020 0.5000 0.5557  3 Ge 2.61-2.89, 4 Li 2.72-2.86, 2 Al 2.76

6.
VGa2Sn4 | PBE | optimized geometry

Its calculated total energy is -4.133 eV/atom. As for the calculated formation energy: 0.32 eV/atom. The calculation puts the density of states at the Fermi level at 4.05 states/eV/f.u. For the spin magnetization, the calculation gives 0.42 μB/f.u. The calculated volume comes out at 384.7 Å³ per cell. The value obtained for the calculated density is 5.74 g cm⁻³.

Cell: 5.2018 5.2018 14.2179 Å, 90.00 90.00 90.00°
Closest atoms and distances in Å follow each position.
Fractional positions:
V: 0.0000 0.0000 0.0000  6 Sn 2.60-2.65
V: 0.5000 0.5000 0.5000  6 Sn 2.60-2.65
Ga: 0.0000 0.0000 0.3824  5 Sn 2.79-3.09
Ga: 0.0000 0.0000 0.6176  5 Sn 2.79-3.09
Ga: 0.5000 0.5000 0.1176  5 Sn 2.79-3.09
Ga: 0.5000 0.5000 0.8824  5 Sn 2.79-3.09
Sn: 0.0000 0.0000 0.1864  1 V 2.65, 1 Ga 2.79
Sn: 0.0000 0.0000 0.8136  1 V 2.65, 1 Ga 2.79
Sn: 0.0000 0.5000 0.0000  2 V 2.60
Sn: 0.0000 0.5000 0.5000  2 V 2.60
Sn: 0.5000 0.0000 0.0000  2 V 2.60
Sn: 0.5000 0.0000 0.5000  2 V 2.60
Sn: 0.5000 0.5000 0.3136  1 V 2.65, 1 Ga 2.79
Sn: 0.5000 0.5000 0.6864  1 V 2.65, 1 Ga 2.79